No. 1
Computed, not measured: a relaxed NiPdW crystal at the PBE-GGA level of DFT.

It has space group F-43m (No. 216), with a = 5.725 Å, b = 5.725 Å, c = 5.725 Å, α = 90.00°, β = 90.00° and γ = 90.00°. Symmetry generates all atoms from Ni at (0.000, 0.000, 0.000), Pd at (0.250, 0.250, 0.750) and W at (0.250, 0.250, 0.250).

As for the excess energy over the best structure of this formula in the dataset: 0.00 eV/f.u. As for the formation enthalpy at 0 K: 52.9 kJ/mol of atoms. The calculation puts the magnetic moment at 0.0 μB per formula unit. Its density is 12.35 g/cm3. The value obtained for the raw total energy is -88.24 eV/cell.

***

No. 2
Computed, not measured: a relaxed GdTmNi2Sn crystal at the PBE-GGA level of DFT.

It has space group Amm2 (No. 38), with a = 3.646 Å, b = 3.984 Å, c = 13.864 Å, α = 90.00°, β = 90.00° and γ = 90.00°. Symmetry generates all atoms from Gd at (0.000, 0.000, 0.000), Tm at (0.000, 0.000, 0.726), Ni at (0.500, 0.000, 0.167), Ni at (0.500, 0.000, 0.563) and Sn at (0.500, 0.000, 0.362).

The calculation puts the magnetic moment at 0.0 μB per formula unit. Its density is 9.27 g/cm3. The value obtained for the raw total energy is -54.67 eV/cell.

***

No. 3
Computed, not measured: a relaxed AlFeMoAu crystal at the PBE-GGA level of DFT.

It has space group F-43m (No. 216), with a = 6.159 Å, b = 6.159 Å, c = 6.159 Å, α = 90.00°, β = 90.00° and γ = 90.00°. Symmetry generates all atoms from Al at (0.000, 0.000, 0.000), Fe at (0.000, 0.000, 0.500), Mo at (0.250, 0.250, 0.750) and Au at (0.250, 0.250, 0.250).

As for the excess energy over the best structure of this formula in the dataset: 0.00 eV/f.u. The calculation puts the magnetic moment at 1.2 μB per formula unit. Its density is 10.68 g/cm3. The value obtained for the raw total energy is -104.02 eV/cell.

***

No. 4
Computed, not measured: a relaxed BeCo2Si crystal at the PBE-GGA level of DFT.

It has space group P6_3/mmc (No. 194), with a = 3.7345 Å, b = 3.7345 Å, c = 6.9493 Å, α = 90.00°, β = 90.00° and γ = 120.00°. Symmetry generates all atoms from Be at (0.3333, 0.6667, 0.2500), Co at (0.3333, 0.6667, 0.5842) and Si at (0.0000, 0.0000, 0.2500).

As for the excess energy over the best structure of this formula in the dataset: 2.13 eV/f.u. The calculation puts the magnetic moment at 1.7 μB per formula unit. Its density is 6.13 g/cm3. The value obtained for the raw total energy is -47.27 eV/cell.